(1)
Here is a relaxed structure of NiCl from the Alexandria database. Energies are from PBE.

For the density of states at the Fermi level, the calculation gives 2.4 states/eV/f.u. Its uncorrected formation energy is -0.280 eV/atom. As for the symmetry: I4/m, No. 87.

extended XYZ file:
```
16
Lattice="10.706 0.000 0.000 0.000 10.706 0.000 0.000 0.000 3.287" Properties=species:S:1:pos:R:3 pbc="T T T"
Ni 0.336 6.592 0.000
Ni 1.239 5.017 1.643
Ni 4.114 0.336 0.000
Ni 5.017 9.467 1.643
Ni 5.689 1.239 1.643
Ni 6.592 10.370 0.000
Ni 9.467 5.689 1.643
Ni 10.370 4.114 0.000
Cl 0.726 8.020 1.643
Cl 2.667 4.627 0.000
Cl 2.686 0.726 1.643
Cl 4.627 8.039 0.000
Cl 6.079 2.667 0.000
Cl 8.020 9.980 1.643
Cl 8.039 6.079 0.000
Cl 9.980 2.686 1.643
```

(2)
Here is a relaxed structure of BaSrSi2 from the Alexandria database. Energies are from PBE.

For the density of states at the Fermi level, the calculation gives 0.9 states/eV/f.u. Its uncorrected formation energy is -0.424 eV/atom. As for the symmetry: Pmc2_1, No. 26. The value obtained for the energy above the lowest structure with this stoichiometry is 14 meV per atom.

extended XYZ file:
```
8
Lattice="4.093 0.000 0.000 0.000 6.336 0.000 0.000 0.000 9.164" Properties=species:S:1:pos:R:3 pbc="T T T"
Ba 0.000 0.914 0.000
Ba 0.000 5.422 4.582
Sr 2.046 2.264 5.842
Sr 2.046 4.072 1.259
Si 0.000 2.301 3.198
Si 0.000 4.035 7.780
Si 2.046 0.968 2.707
Si 2.046 5.368 7.289
```

(3)
Here is a relaxed structure of La2MgPdC from the Alexandria database. Energies are from PBE.

For the density of states at the Fermi level, the calculation gives 4.0 states/eV/f.u. As for the symmetry: P4/mmm, No. 123. The formation energy is -0.22 eV/atom.

extended XYZ file:
```
5
Lattice="5.250 0.000 0.000 0.000 5.250 0.000 0.000 0.000 4.249" Properties=species:S:1:pos:R:3 pbc="T T T"
La 0.000 2.625 0.000
La 2.625 0.000 0.000
Mg 0.000 0.000 2.124
Pd 2.625 2.625 2.124
C 0.000 0.000 0.000
```

(4)
Here is a relaxed structure of NaTaS3 from the Alexandria database. Energies are from PBE.

For the density of states at the Fermi level, the calculation gives 2.2 states/eV/f.u. Its uncorrected formation energy is -0.840 eV/atom. As for the symmetry: Pm-3m, No. 221. The value obtained for the energy above the lowest structure with this stoichiometry is 172 meV per atom.

extended XYZ file:
```
5
Lattice="4.824 0.000 0.000 0.000 4.824 0.000 0.000 0.000 4.824" Properties=species:S:1:pos:R:3 pbc="T T T"
Na 0.000 0.000 0.000
Ta 2.412 2.412 2.412
S 0.000 2.412 2.412
S 2.412 0.000 2.412
S 2.412 2.412 0.000
```

(5)
Here is a relaxed structure of Li2MnRu from the Alexandria database. Energies are from PBE.

For the density of states at the Fermi level, the calculation gives 3.6 states/eV/f.u. As for the symmetry: Cmmm, No. 65. The formation energy is 0.31 eV/atom. The value obtained for the energy above the lowest structure with this stoichiometry is 125 meV per atom.

extended XYZ file:
```
8
Lattice="5.024 0.000 0.000 0.000 8.686 0.000 0.000 0.000 2.513" Properties=species:S:1:pos:R:3 pbc="T T T"
Li 1.256 2.171 0.000
Li 1.256 6.514 0.000
Li 3.768 2.171 0.000
Li 3.768 6.514 0.000
Mn 0.000 0.000 1.256
Mn 2.512 4.343 1.256
Ru 0.000 4.343 1.256
Ru 2.512 0.000 1.256
```

(6)
Here is a relaxed structure of Li2ErPuS4 from the Alexandria database. Energies are from PBE.

For the density of states at the Fermi level, the calculation gives 10.3 states/eV/f.u. Its uncorrected formation energy is -1.686 eV/atom. As for the symmetry: P2/m, No. 10.

extended XYZ file:
```
8
Lattice="6.554 0.000 0.000 0.000 3.928 0.000 -2.377 0.000 6.367" Properties=species:S:1:pos:R:3 pbc="T T T"
Li 0.000 0.000 0.000
Li -1.188 1.964 3.184
Er 2.088 0.000 3.184
Pu 3.277 1.964 0.000
S 1.027 1.964 1.619
S -0.132 0.000 4.752
S 4.309 0.000 1.615
S 3.150 1.964 4.749
```

no.,calculated total energy (Ha/atom)
1,-0.150
2,-0.148
3,-0.198
4,-0.219
5,-0.193
6,-0.242